An optimized crystal structure of TiPWS2, computed with GGA-PBE.

## Properties
Relative energy among the computed polymorphs (eV/atom): 0.000
Formation energy without anion corrections (meV per atom): 405
Magnetization (μB per cell): 0.13
SG: No. 123
Volume (Å³ per cell): 102

Lattice parameters (Å, degrees): 4.601 4.601 4.804 90.00 90.00 90.00
Element x y z (fractional)
Ti  0.000  0.000  0.000
P  0.500  0.500  0.000
W  0.500  0.500  0.500
S  0.000  0.500  0.500
S  0.500  0.000  0.500


An optimized crystal structure of TiP2WS, computed with GGA-PBE.

## Properties
Relative energy among the computed polymorphs (eV/atom): 0.346
Formation energy without anion corrections (meV per atom): 884
Magnetization (μB per cell): 2.60
SG: No. 123
Volume (Å³ per cell): 98

Lattice parameters (Å, degrees): 4.655 4.655 4.529 90.00 90.00 90.00
Element x y z (fractional)
Ti  0.000  0.000  0.000
P  0.000  0.500  0.000
P  0.500  0.000  0.000
W  0.500  0.500  0.500
S  0.000  0.000  0.500


An optimized crystal structure of TiZnP2S, computed with GGA-PBE.

## Properties
Relative energy among the computed polymorphs (eV/atom): 0.000
Formation energy without anion corrections (meV per atom): 174
Magnetization (μB per cell): 0.00
SG: No. 123
Volume (Å³ per cell): 104

Lattice parameters (Å, degrees): 4.759 4.759 4.607 90.00 90.00 90.00
Element x y z (fractional)
Ti  0.000  0.000  0.000
Zn  0.500  0.500  0.500
P  0.000  0.500  0.000
P  0.500  0.000  0.000
S  0.000  0.000  0.500


An optimized crystal structure of TiZnPS2, computed with GGA-PBE.

## Properties
Relative energy among the computed polymorphs (eV/atom): 0.000
Formation energy without anion corrections (meV per atom): -56
Magnetization (μB per cell): 0.00
SG: No. 123
Volume (Å³ per cell): 105

Lattice parameters (Å, degrees): 4.631 4.631 4.897 90.00 90.00 90.00
Element x y z (fractional)
Ti  0.000  0.000  0.000
Zn  0.500  0.500  0.500
P  0.000  0.000  0.500
S  0.000  0.500  0.000
S  0.500  0.000  0.000


An optimized crystal structure of TiZnP2S, computed with GGA-PBE.

## Properties
Relative energy among the computed polymorphs (eV/atom): 0.536
Formation energy without anion corrections (meV per atom): 711
Magnetization (μB per cell): 0.00
SG: No. 123
Volume (Å³ per cell): 95

Lattice parameters (Å, degrees): 4.525 4.525 4.644 90.00 90.00 90.00
Element x y z (fractional)
Ti  0.000  0.000  0.000
Zn  0.500  0.500  0.500
P  0.000  0.500  0.500
P  0.500  0.000  0.500
S  0.500  0.500  0.000


An optimized crystal structure of TiZnPS2, computed with GGA-PBE.

## Properties
Relative energy among the computed polymorphs (eV/atom): 0.587
Formation energy without anion corrections (meV per atom): 531
Magnetization (μB per cell): 0.00
SG: No. 123
Volume (Å³ per cell): 96

Lattice parameters (Å, degrees): 4.598 4.598 4.541 90.00 90.00 90.00
Element x y z (fractional)
Ti  0.000  0.000  0.000
Zn  0.500  0.500  0.500
P  0.500  0.500  0.000
S  0.000  0.500  0.500
S  0.500  0.000  0.500


An optimized crystal structure of ZrTiP2S, computed with GGA-PBE.

## Properties
Relative energy among the computed polymorphs (eV/atom): 0.000
Formation energy without anion corrections (meV per atom): -195
Magnetization (μB per cell): 0.00
SG: No. 123
Volume (Å³ per cell): 99

Lattice parameters (Å, degrees): 4.681 4.681 4.498 90.00 90.00 90.00
Element x y z (fractional)
Zr  0.000  0.000  0.000
Ti  0.500  0.500  0.500
P  0.000  0.500  0.500
P  0.500  0.000  0.500
S  0.500  0.500  0.000


An optimized crystal structure of ZrTiP2S, computed with GGA-PBE.

## Properties
Relative energy among the computed polymorphs (eV/atom): 0.393
Formation energy without anion corrections (meV per atom): 198
Magnetization (μB per cell): 1.48
SG: No. 123
Volume (Å³ per cell): 121

Lattice parameters (Å, degrees): 4.981 4.981 4.882 90.00 90.00 90.00
Element x y z (fractional)
Zr  0.000  0.000  0.000
Ti  0.500  0.500  0.500
P  0.000  0.500  0.000
P  0.500  0.000  0.000
S  0.000  0.000  0.500


An optimized crystal structure of Tl2P2S5, computed with GGA-PBE.

## Properties
Formation energy without anion corrections (meV per atom): -139
Magnetization (μB per cell): 0.00
SG: No. 12
Volume (Å³ per cell): 229

Lattice parameters (Å, degrees): 6.775 6.775 7.425 100.81 100.81 43.23
Element x y z (fractional)
Tl  0.086  0.086  0.325
Tl  0.914  0.914  0.675
P  0.337  0.337  0.106
P  0.663  0.663  0.894
S  0.172  0.172  0.958
S  0.346  0.346  0.380
S  0.500  0.500  0.000
S  0.654  0.654  0.620
S  0.828  0.828  0.042


An optimized crystal structure of TlPS4, computed with GGA-PBE.

## Properties
Formation energy without anion corrections (meV per atom): -4
Magnetization (μB per cell): 0.00
SG: No. 15
Volume (Å³ per cell): 345

Lattice parameters (Å, degrees): 13.339 13.339 3.888 90.28 90.28 150.04
Element x y z (fractional)
Tl  0.129  0.871  0.750
Tl  0.871  0.129  0.250
P  0.472  0.528  0.750
P  0.528  0.472  0.250
S  0.180  0.307  0.748
S  0.207  0.625  0.046
S  0.307  0.180  0.248
S  0.375  0.793  0.454
S  0.625  0.207  0.546
S  0.693  0.820  0.752
S  0.793  0.375  0.954
S  0.820  0.693  0.252


- Among the records above, which one has the highest magnetization?
  TiP2WS